DFT (GGA-PBE) results for crystalline Li2MnHg at its relaxed geometry.

Cell lengths 3.014, 3.935, 5.924 Å; angles 90.00, 90.00, 90.00 degrees
Fractional positions:
Hg 0.500 0.500 0.749
Li 0.000 0.000 0.998
Li 0.500 0.500 0.250
Mn 0.000 0.000 0.503

Its space-group type is Pmm2. The total magnetization is 3.994 Bohr magnetons per cell. The formation energy comes out at 91 meV/atom.